No. 1
# LiTiZnH GGA-PBE optimized geometry
# Energy relative to the lowest polymorph listed for this composition in eV/atom: 0.0460
# Total magnetic moment in Bohr magnetons per cell: 1.19
# E in eV/atom: -3.750
data_LiTiZnH
_chemical_formula_sum 'Li2 Ti2 Zn2 H2'
_symmetry_space_group_name_H-M 'I 4 m m'
_symmetry_Int_Tables_number 107
_symmetry_space_group_name_Hall 'I 4 -2'
_cell_length_a 2.857
_cell_length_b 2.857
_cell_length_c 11.759
_cell_angle_alpha 90.00
_cell_angle_beta 90.00
_cell_angle_gamma 90.00
loop_
_atom_site_label
_atom_site_fract_x
_atom_site_fract_y
_atom_site_fract_z
Li1 0.000 0.000 0.000
Ti1 0.000 0.000 0.689
Zn1 0.000 0.000 0.342
H1 0.000 0.000 0.518



No. 2
# LiTiZnH GGA-PBE optimized geometry
# Energy relative to the lowest polymorph listed for this composition in eV/atom: 0.2950
# Total magnetic moment in Bohr magnetons per cell: 1.69
# E in eV/atom: -3.501
data_LiTiZnH
_chemical_formula_sum 'Li2 Ti2 Zn2 H2'
_symmetry_space_group_name_H-M 'I 4 m m'
_symmetry_Int_Tables_number 107
_symmetry_space_group_name_Hall 'I 4 -2'
_cell_length_a 2.989
_cell_length_b 2.989
_cell_length_c 11.283
_cell_angle_alpha 90.00
_cell_angle_beta 90.00
_cell_angle_gamma 90.00
loop_
_atom_site_label
_atom_site_fract_x
_atom_site_fract_y
_atom_site_fract_z
Li1 0.000 0.000 0.000
Ti1 0.000 0.000 0.317
Zn1 0.000 0.000 0.653
H1 0.000 0.000 0.156



No. 3
# LiTiZnH GGA-PBE optimized geometry
# Energy relative to the lowest polymorph listed for this composition in eV/atom: 0.1296
# Total magnetic moment in Bohr magnetons per cell: 0.00
# E in eV/atom: -3.666
data_LiTiZnH
_chemical_formula_sum 'Li2 Ti2 Zn2 H2'
_symmetry_space_group_name_H-M 'C 1 m 1'
_symmetry_Int_Tables_number 8
_cell_length_a 8.272
_cell_length_b 4.161
_cell_length_c 2.916
_cell_angle_alpha 90.00
_cell_angle_beta 96.12
_cell_angle_gamma 90.00
loop_
_symmetry_equiv_pos_as_xyz
'x,y,z'
'x,-y,z'
'x+1/2,y+1/2,z'
'x+1/2,-y+1/2,z'
loop_
_atom_site_label
_atom_site_fract_x
_atom_site_fract_y
_atom_site_fract_z
Li1 0.000 0.000 0.000
Ti1 0.180 0.500 0.588
Zn1 0.321 0.000 0.168
H1 0.044 0.500 0.053



No. 4
# LiTiZnH GGA-PBE optimized geometry
# Energy relative to the lowest polymorph listed for this composition in eV/atom: 0.0124
# Total magnetic moment in Bohr magnetons per cell: 0.00
# E in eV/atom: -3.783
data_LiTiZnH
_chemical_formula_sum 'Li3 Ti3 Zn3 H3'
_symmetry_space_group_name_H-M 'R 3 m'
_symmetry_Int_Tables_number 160
_symmetry_space_group_name_Hall 'R 3 -2"'
_cell_length_a 2.8441
_cell_length_b 2.8441
_cell_length_c 21.3262
_cell_angle_alpha 90.00
_cell_angle_beta 90.00
_cell_angle_gamma 120.00
loop_
_atom_site_label
_atom_site_fract_x
_atom_site_fract_y
_atom_site_fract_z
Li1 0.0000 0.0000 0.0000
Ti1 0.0000 0.0000 0.5450
Zn1 0.0000 0.0000 0.7713
H1 0.0000 0.0000 0.2643



No. 5
# LiTiZnH GGA-PBE optimized geometry
# Energy relative to the lowest polymorph listed for this composition in eV/atom: 0.0000
# Total magnetic moment in Bohr magnetons per cell: 0.00
# E in eV/atom: -3.796
data_LiTiZnH
_chemical_formula_sum 'Li2 Ti2 Zn2 H2'
_symmetry_space_group_name_H-M 'I 4 m m'
_symmetry_Int_Tables_number 107
_symmetry_space_group_name_Hall 'I 4 -2'
_cell_length_a 2.750
_cell_length_b 2.750
_cell_length_c 12.721
_cell_angle_alpha 90.00
_cell_angle_beta 90.00
_cell_angle_gamma 90.00
loop_
_atom_site_label
_atom_site_fract_x
_atom_site_fract_y
_atom_site_fract_z
Li1 0.000 0.000 0.000
Ti1 0.000 0.000 0.690
Zn1 0.000 0.000 0.353
H1 0.000 0.000 0.146



No. 6
# LiTiZnH GGA-PBE optimized geometry
# Energy relative to the lowest polymorph listed for this composition in eV/atom: 0.0277
# Total magnetic moment in Bohr magnetons per cell: 0.00
# E in eV/atom: -3.768
data_LiTiZnH
_chemical_formula_sum 'Li2 Ti2 Zn2 H2'
_symmetry_space_group_name_H-M 'I m m 2'
_symmetry_Int_Tables_number 44
_cell_length_a 2.922
_cell_length_b 2.956
_cell_length_c 11.570
_cell_angle_alpha 90.00
_cell_angle_beta 90.00
_cell_angle_gamma 90.00
loop_
_symmetry_equiv_pos_as_xyz
'x,y,z'
'-x,-y,z'
'-x,y,z'
'x,-y,z'
'x+1/2,y+1/2,z+1/2'
'-x+1/2,-y+1/2,z+1/2'
'-x+1/2,y+1/2,z+1/2'
'x+1/2,-y+1/2,z+1/2'
loop_
_atom_site_label
_atom_site_fract_x
_atom_site_fract_y
_atom_site_fract_z
Li1 0.000 0.000 0.000
Ti1 0.000 0.000 0.696
Zn1 0.000 0.000 0.346
H1 0.000 0.500 0.092



No. 7
# LiTl2H GGA-PBE optimized geometry
# Energy relative to the lowest polymorph listed for this composition in eV/atom: 0.1389
# Total magnetic moment in Bohr magnetons per cell: 0.00
# E in eV/atom: -2.214
data_LiTl2H
_chemical_formula_sum 'Li4 Tl8 H4'
_symmetry_space_group_name_H-M 'F m -3 m'
_symmetry_Int_Tables_number 225
_symmetry_space_group_name_Hall '-F 4 2 3'
_cell_length_a 6.817
_cell_length_b 6.817
_cell_length_c 6.817
_cell_angle_alpha 90.00
_cell_angle_beta 90.00
_cell_angle_gamma 90.00
loop_
_atom_site_label
_atom_site_fract_x
_atom_site_fract_y
_atom_site_fract_z
Li1 0.000 0.000 0.000
Tl1 0.250 0.250 0.250
H1 0.000 0.000 0.500



No. 8
# LiTl2H GGA-PBE optimized geometry
# Energy relative to the lowest polymorph listed for this composition in eV/atom: 0.0000
# Total magnetic moment in Bohr magnetons per cell: 0.00
# E in eV/atom: -2.352
data_LiTl2H
_chemical_formula_sum 'Li4 Tl8 H4'
_symmetry_space_group_name_H-M 'I -4 2 d'
_symmetry_Int_Tables_number 122
_symmetry_space_group_name_Hall 'I -4 2bw'
_cell_length_a 7.432
_cell_length_b 7.432
_cell_length_c 5.988
_cell_angle_alpha 90.00
_cell_angle_beta 90.00
_cell_angle_gamma 90.00
loop_
_atom_site_label
_atom_site_fract_x
_atom_site_fract_y
_atom_site_fract_z
Li1 0.000 0.000 0.000
Tl1 0.168 0.250 0.625
H1 0.000 0.000 0.500



No. 9
# LiTlH GGA-PBE optimized geometry
# Energy relative to the lowest polymorph listed for this composition in eV/atom: 0.0000
# Total magnetic moment in Bohr magnetons per cell: 0.00
# E in eV/atom: -2.601
data_LiTlH
_chemical_formula_sum 'Li1 Tl1 H1'
_symmetry_space_group_name_H-M 'P -6 m 2'
_symmetry_Int_Tables_number 187
_symmetry_space_group_name_Hall 'P -6 2'
_cell_length_a 3.2985
_cell_length_b 3.2985
_cell_length_c 5.5693
_cell_angle_alpha 90.00
_cell_angle_beta 90.00
_cell_angle_gamma 120.00
loop_
_atom_site_label
_atom_site_fract_x
_atom_site_fract_y
_atom_site_fract_z
Li1 0.0000 0.0000 0.0000
Tl1 0.3333 0.6667 0.5000
H1 0.6667 0.3333 0.0000



No. 10
# Li2TlH GGA-PBE optimized geometry
# Energy relative to the lowest polymorph listed for this composition in eV/atom: 0.0515
# Total magnetic moment in Bohr magnetons per cell: 0.00
# E in eV/atom: -2.572
data_Li2TlH
_chemical_formula_sum 'Li4 Tl2 H2'
_symmetry_space_group_name_H-M 'C 1 m 1'
_symmetry_Int_Tables_number 8
_cell_length_a 5.573
_cell_length_b 3.203
_cell_length_c 7.363
_cell_angle_alpha 90.00
_cell_angle_beta 104.85
_cell_angle_gamma 90.00
loop_
_symmetry_equiv_pos_as_xyz
'x,y,z'
'x,-y,z'
'x+1/2,y+1/2,z'
'x+1/2,-y+1/2,z'
loop_
_atom_site_label
_atom_site_fract_x
_atom_site_fract_y
_atom_site_fract_z
Li1 0.000 0.000 0.000
Li2 0.228 0.000 0.682
Tl1 0.446 0.000 0.340
H1 0.112 0.500 0.838



No. 11
# LiTl3H GGA-PBE optimized geometry
# Energy relative to the lowest polymorph listed for this composition in eV/atom: 0.3046
# Total magnetic moment in Bohr magnetons per cell: 0.00
# E in eV/atom: -1.996
data_LiTl3H
_chemical_formula_sum 'Li1 Tl3 H1'
_symmetry_space_group_name_H-M 'P m -3 m'
_symmetry_Int_Tables_number 221
_symmetry_space_group_name_Hall '-P 4 2 3'
_cell_length_a 5.154
_cell_length_b 5.154
_cell_length_c 5.154
_cell_angle_alpha 90.00
_cell_angle_beta 90.00
_cell_angle_gamma 90.00
loop_
_atom_site_label
_atom_site_fract_x
_atom_site_fract_y
_atom_site_fract_z
Li1 0.000 0.000 0.000
Tl1 0.000 0.000 0.500
H1 0.500 0.500 0.500



No. 12
# Li2TlH2 GGA-PBE optimized geometry
# Energy relative to the lowest polymorph listed for this composition in eV/atom: 0.0000
# Total magnetic moment in Bohr magnetons per cell: 0.00
# E in eV/atom: -2.731
data_Li2TlH2
_chemical_formula_sum 'Li4 Tl2 H4'
_symmetry_space_group_name_H-M 'I 4/m m m'
_symmetry_Int_Tables_number 139
_symmetry_space_group_name_Hall '-I 4 2'
_cell_length_a 3.542
_cell_length_b 3.542
_cell_length_c 10.681
_cell_angle_alpha 90.00
_cell_angle_beta 90.00
_cell_angle_gamma 90.00
loop_
_atom_site_label
_atom_site_fract_x
_atom_site_fract_y
_atom_site_fract_z
Li1 0.000 0.000 0.198
Tl1 0.000 0.000 0.500
H1 0.000 0.500 0.250